a:
Material: BaAs2BrCl
Method: DFT, PBE-GGA
State: optimized geometry

Lattice parameters (Å, degrees): 4.862 4.862 6.593 90.00 90.00 90.00
Sites, in units of the cell vectors:
Br (0.000, 0.000, 0.500)
As (0.000, 0.500, 0.000)
As (0.500, 0.000, 0.000)
Cl (0.000, 0.000, 0.000)
Ba (0.500, 0.500, 0.500)

b:
Material: BaAs2BrCl
Method: DFT, PBE-GGA
State: optimized geometry

Lattice parameters (Å, degrees): 6.875 6.875 6.078 90.00 90.00 90.00
Sites, in units of the cell vectors:
Br (0.000, 0.000, 0.500)
Ba (0.000, 0.000, 0.000)
As (0.000, 0.500, 0.000)
As (0.500, 0.000, 0.000)
Cl (0.500, 0.500, 0.500)

Of them, a has the highest stability.

a:
Material: BaAs2BrF
Method: DFT, PBE-GGA
State: optimized geometry

Lattice parameters (Å, degrees): 4.593 6.339 4.593 90.00 90.00 90.00
Sites, in units of the cell vectors:
Ba (0.000, 0.500, 0.000)
As (0.000, 0.000, 0.500)
As (0.500, 0.000, 0.000)
F (0.000, 0.000, 0.000)
Br (0.500, 0.500, 0.500)

b:
Material: BaAs2BrF
Method: DFT, PBE-GGA
State: optimized geometry

Lattice parameters (Å, degrees): 4.524 4.524 6.357 90.00 90.00 90.00
Sites, in units of the cell vectors:
As (0.000, 0.500, 0.000)
As (0.500, 0.000, 0.000)
Br (0.000, 0.000, 0.500)
Ba (0.500, 0.500, 0.500)
F (0.000, 0.000, 0.000)

Of them, b has the highest stability.

a:
Material: BaGeAs2Br
Method: DFT, PBE-GGA
State: optimized geometry

Lattice parameters (Å, degrees): 6.229 6.229 5.995 90.00 90.00 90.00
Sites, in units of the cell vectors:
Br (0.000, 0.000, 0.500)
As (0.000, 0.500, 0.000)
As (0.500, 0.000, 0.000)
Ge (0.500, 0.500, 0.500)
Ba (0.000, 0.000, 0.000)

b:
Material: BaGeAs2Br
Method: DFT, PBE-GGA
State: optimized geometry

Lattice parameters (Å, degrees): 4.980 4.980 5.937 90.00 90.00 90.00
Sites, in units of the cell vectors:
Br (0.000, 0.000, 0.500)
As (0.500, 0.000, 0.000)
As (0.000, 0.500, 0.000)
Ge (0.000, 0.000, 0.000)
Ba (0.500, 0.500, 0.500)

Of them, b has the highest stability.

a:
Material: BaHfAs2Br
Method: DFT, PBE-GGA
State: optimized geometry

Lattice parameters (Å, degrees): 5.199 5.199 5.460 90.00 90.00 90.00
Sites, in units of the cell vectors:
Br (0.000, 0.000, 0.500)
As (0.000, 0.500, 0.000)
As (0.500, 0.000, 0.000)
Hf (0.000, 0.000, 0.000)
Ba (0.500, 0.500, 0.500)

b:
Material: BaHfAs2Br
Method: DFT, PBE-GGA
State: optimized geometry

Lattice parameters (Å, degrees): 5.770 5.770 5.766 90.00 90.00 90.00
Sites, in units of the cell vectors:
As (0.500, 0.000, 0.000)
As (0.000, 0.500, 0.000)
Br (0.000, 0.000, 0.500)
Ba (0.000, 0.000, 0.000)
Hf (0.500, 0.500, 0.500)

Of them, a has the highest stability.

a:
Material: BaHfAsBr2
Method: DFT, PBE-GGA
State: optimized geometry

Lattice parameters (Å, degrees): 5.545 6.299 5.545 90.00 90.00 90.00
Sites, in units of the cell vectors:
Br (0.500, 0.000, 0.000)
Br (0.000, 0.000, 0.500)
As (0.000, 0.000, 0.000)
Ba (0.000, 0.500, 0.000)
Hf (0.500, 0.500, 0.500)

b:
Material: BaHfAsBr2
Method: DFT, PBE-GGA
State: optimized geometry

Lattice parameters (Å, degrees): 5.900 5.900 6.413 90.00 90.00 90.00
Sites, in units of the cell vectors:
Br (0.500, 0.000, 0.000)
Br (0.000, 0.500, 0.000)
Ba (0.000, 0.000, 0.000)
As (0.000, 0.000, 0.500)
Hf (0.500, 0.500, 0.500)

c:
Material: BaHfAsBr2
Method: DFT, PBE-GGA
State: optimized geometry

Lattice parameters (Å, degrees): 5.308 5.308 5.291 90.00 90.00 90.00
Sites, in units of the cell vectors:
Br (0.500, 0.000, 0.000)
Br (0.000, 0.500, 0.000)
Hf (0.000, 0.000, 0.000)
Ba (0.500, 0.500, 0.500)
As (0.000, 0.000, 0.500)

Of them, c has the highest stability.

a:
Material: BaHgAs2Br
Method: DFT, PBE-GGA
State: optimized geometry

Lattice parameters (Å, degrees): 5.164 5.164 6.304 90.00 90.00 90.00
Sites, in units of the cell vectors:
Hg (0.000, 0.000, 0.000)
Ba (0.500, 0.500, 0.500)
As (0.500, 0.000, 0.000)
As (0.000, 0.500, 0.000)
Br (0.000, 0.000, 0.500)

b:
Material: BaHgAs2Br
Method: DFT, PBE-GGA
State: optimized geometry

Lattice parameters (Å, degrees): 6.770 6.770 6.235 90.00 90.00 90.00
Sites, in units of the cell vectors:
Br (0.000, 0.000, 0.500)
As (0.000, 0.500, 0.000)
As (0.500, 0.000, 0.000)
Ba (0.000, 0.000, 0.000)
Hg (0.500, 0.500, 0.500)

Of them, a has the highest stability.